Model A:
Ac2Cu3Ni (GGA-PBE, optimized geometry); DOS at the Fermi energy = 9.2 states/eV/cell; theoretical density = 8.738 g/cm³; total magnetization = 0.00 μB per cell
1.0
-4.324 -0.855 -4.073
0.049 -5.753 1.708
-3.011 4.790 6.337
Ac Cu Ni
4 6 2
Direct
0.746 0.746 0.000
0.254 0.254 0.000
0.750 0.250 0.500
0.250 0.750 0.500
0.168 0.168 0.336
0.336 0.833 0.169
0.664 0.167 0.831
0.832 0.832 0.664
0.833 0.336 0.169
0.167 0.664 0.831
0.665 0.665 0.330
0.335 0.335 0.670


Model B:
Ac2Cu3Ni (GGA-PBE, optimized geometry); DOS at the Fermi energy = 3.6 states/eV/cell; theoretical density = 8.724 g/cm³; total magnetization = 0.00 μB per cell
1.0
-1.236 -2.831 2.753
3.851 -1.933 -0.259
2.540 4.313 5.577
Ac Cu Ni
2 3 1
Direct
0.000 0.500 0.009
0.000 0.000 0.493
0.500 0.000 0.834
0.500 0.500 0.663
0.500 0.000 0.169
0.500 0.500 0.332


Stability check: which of them is most stable? model B.


Model A:
AcPrCuNi (GGA-PBE, optimized geometry); DOS at the Fermi energy = 4.4 states/eV/cell; theoretical density = 8.313 g/cm³; total magnetization = 0.00 μB per cell
1.0
-2.996 -0.190 -4.214
-0.049 -4.250 -2.950
-4.176 -3.052 -0.069
Pr Ac Ni Cu
1 1 1 1
Direct
0.500 0.500 0.500
0.000 0.000 0.000
0.750 0.750 0.750
0.250 0.250 0.250


Model B:
AcPrCuNi (GGA-PBE, optimized geometry); DOS at the Fermi energy = 4.1 states/eV/cell; theoretical density = 8.079 g/cm³; total magnetization = 0.00 μB per cell
1.0
-3.437 0.207 -2.064
1.324 -3.523 -2.558
-0.637 -3.583 4.604
Cu Ac Ni Pr
1 1 1 1
Direct
0.563 0.500 0.125
0.140 0.000 0.280
0.433 0.000 0.866
0.864 0.500 0.728


Stability check: which of them is most stable? model B.


Model A:
AcCuNiSn (GGA-PBE, optimized geometry); DOS at the Fermi energy = 2.3 states/eV/cell; theoretical density = 8.628 g/cm³; total magnetization = 0.00 μB per cell
1.0
-2.294 -3.595 -1.419
1.206 0.335 4.316
-4.466 3.387 -1.361
Ni Sn Ac Cu
1 1 1 1
Direct
0.427 0.853 0.923
0.107 0.215 0.964
0.616 0.232 0.489
0.816 0.633 0.091


Model B:
AcCuNiSn (GGA-PBE, optimized geometry); DOS at the Fermi energy = 4.4 states/eV/cell; theoretical density = 9.142 g/cm³; total magnetization = 0.00 μB per cell
1.0
4.935 0.000 0.000
2.468 4.274 0.000
2.468 1.425 4.030
Sn Cu Ni Ac
1 1 1 1
Direct
0.750 0.750 0.750
0.000 0.000 0.000
0.500 0.500 0.500
0.250 0.250 0.250


Stability check: which of them is most stable? model A.


Model A:
AcCu2O4 (GGA-PBE, optimized geometry); DOS at the Fermi energy = 6.8 states/eV/cell; theoretical density = 6.839 g/cm³; total magnetization = 1.71 μB per cell
1.0
5.905 0.001 2.658
2.949 4.745 1.334
0.241 -0.007 7.356
O Ac Cu
8 2 4
Direct
0.044 0.356 0.730
0.706 0.144 0.770
0.619 0.856 0.230
0.525 0.856 0.770
0.131 0.644 0.270
0.225 0.644 0.730
0.600 0.356 0.270
0.151 0.144 0.230
0.750 0.500 0.500
0.000 0.000 0.000
0.375 0.250 0.250
0.875 0.750 0.750
0.375 0.250 0.750
0.375 0.750 0.250


Model B:
AcCu2O4 (GGA-PBE, optimized geometry); DOS at the Fermi energy = 7.8 states/eV/cell; theoretical density = 7.351 g/cm³; total magnetization = 0.00 μB per cell
1.0
-3.789 0.755 -0.345
-1.773 0.322 6.260
0.841 3.718 -0.720
Ac O Cu
1 4 2
Direct
0.000 0.000 0.000
0.913 0.261 0.581
0.581 0.739 0.913
0.087 0.739 0.419
0.419 0.261 0.087
0.610 0.676 0.390
0.390 0.324 0.610


Stability check: which of them is most stable? model A.


Model A:
Ac2CuO4 (GGA-PBE, optimized geometry); DOS at the Fermi energy = 1.5 states/eV/cell; theoretical density = 9.319 g/cm³; total magnetization = 0.00 μB per cell
1.0
-2.152 -2.209 2.333
1.009 -3.131 -2.034
6.038 1.732 4.005
O Ac Cu
4 2 1
Direct
0.000 0.500 0.000
0.500 0.000 0.000
0.183 0.183 0.366
0.817 0.817 0.634
0.638 0.638 0.276
0.362 0.362 0.724
0.000 0.000 0.000


Model B:
Ac2CuO4 (GGA-PBE, optimized geometry); DOS at the Fermi energy = 3.7 states/eV/cell; theoretical density = 8.622 g/cm³; total magnetization = 0.11 μB per cell
1.0
4.113 0.000 0.000
0.000 4.113 0.000
-2.056 -2.056 6.621
O Ac Cu
4 2 1
Direct
0.000 0.500 0.000
0.500 0.000 0.000
0.750 0.250 0.500
0.250 0.750 0.500
0.648 0.648 0.296
0.352 0.352 0.704
0.000 0.000 0.000


Stability check: which of them is most stable? model B.


Model A:
AcCu3P3 (GGA-PBE, optimized geometry); DOS at the Fermi energy = 8.4 states/eV/cell; theoretical density = 6.046 g/cm³; total magnetization = 0.00 μB per cell
1.0
-3.796 -2.027 5.172
0.412 -6.348 2.191
4.052 -0.886 7.004
P Cu Ac
6 6 2
Direct
0.901 0.234 0.288
0.577 0.901 0.288
0.099 0.766 0.712
0.234 0.577 0.288
0.423 0.099 0.712
0.766 0.423 0.712
0.796 0.127 0.613
0.464 0.796 0.613
0.873 0.536 0.387
0.536 0.204 0.387
0.204 0.873 0.387
0.127 0.464 0.613
0.667 0.667 0.999
0.333 0.333 0.001


Model B:
AcCu3P3 (GGA-PBE, optimized geometry); DOS at the Fermi energy = 3.5 states/eV/cell; theoretical density = 6.531 g/cm³; total magnetization = 0.00 μB per cell
1.0
6.379 0.000 0.000
0.000 6.379 0.000
0.000 0.000 6.379
Cu P Ac
6 6 2
Direct
0.500 0.750 0.000
0.500 0.250 0.000
0.000 0.500 0.750
0.750 0.000 0.500
0.000 0.500 0.250
0.250 0.000 0.500
0.500 0.000 0.750
0.500 0.000 0.250
0.750 0.500 0.000
0.000 0.750 0.500
0.250 0.500 0.000
0.000 0.250 0.500
0.500 0.500 0.500
0.000 0.000 0.000


Stability check: which of them is most stable? model B.


Model A:
AcCu4P2 (GGA-PBE, optimized geometry); DOS at the Fermi energy = 5.0 states/eV/cell; theoretical density = 7.965 g/cm³; total magnetization = 0.00 μB per cell
1.0
3.952 0.000 0.000
0.000 7.570 0.000
0.000 0.000 7.570
P Cu Ac
4 8 2
Direct
0.000 0.217 0.783
0.000 0.783 0.217
0.500 0.717 0.717
0.500 0.283 0.283
0.500 0.842 0.419
0.000 0.658 0.919
0.500 0.158 0.581
0.000 0.342 0.081
0.500 0.581 0.158
0.500 0.419 0.842
0.000 0.919 0.658
0.000 0.081 0.342
0.000 0.500 0.500
0.500 0.000 0.000


Model B:
AcCu4P2 (GGA-PBE, optimized geometry); DOS at the Fermi energy = 1.6 states/eV/cell; theoretical density = 7.944 g/cm³; total magnetization = 0.00 μB per cell
1.0
-0.439 0.434 -4.045
2.747 -1.650 -2.545
-3.431 -7.007 -2.450
P Cu Ac
2 4 1
Direct
0.754 0.754 0.738
0.246 0.246 0.262
0.147 0.147 0.559
0.564 0.564 0.307
0.436 0.436 0.693
0.853 0.853 0.441
0.000 0.000 0.000


Stability check: which of them is most stable? model B.


Model A:
AcCu6P4 (GGA-PBE, optimized geometry); DOS at the Fermi energy = 5.6 states/eV/cell; theoretical density = 6.969 g/cm³; total magnetization = 0.00 μB per cell
1.0
-3.028 2.212 -1.144
-2.026 -3.236 -0.893
-1.665 0.226 11.560
Cu P Ac
6 4 1
Direct
0.371 0.871 0.742
0.629 0.129 0.258
0.750 0.250 0.500
0.250 0.750 0.500
0.129 0.629 0.258
0.871 0.371 0.742
0.428 0.428 0.857
0.572 0.572 0.143
0.810 0.810 0.619
0.190 0.190 0.381
0.000 0.000 0.000


Model B:
AcCu6P4 (GGA-PBE, optimized geometry); DOS at the Fermi energy = 6.4 states/eV/cell; theoretical density = 6.804 g/cm³; total magnetization = 0.00 μB per cell
1.0
6.218 0.077 0.113
-2.807 5.549 -0.113
-2.807 -2.145 5.119
Cu P Ac
6 4 1
Direct
0.000 0.769 0.476
0.707 0.231 0.231
0.293 0.524 0.524
0.000 0.476 0.769
0.500 0.000 0.500
0.500 0.500 0.000
0.000 0.137 0.552
0.585 0.448 0.448
0.000 0.552 0.137
0.415 0.863 0.863
0.000 0.000 0.000


Stability check: which of them is most stable? model A.